Entry from Alexandria: a relaxed CoBiRhO6 crystal (GGA+U).

## Properties
Calculated total energy ... -5.94 eV per atom
Magnetization ... 1.535 μB per formula unit
Crystal system ... trigonal

Cell lengths 5.1058, 5.1058, 4.7545 Å; angles 90.00, 90.00, 120.00 degrees
Space group P312 (No. 149)
One atom of each set of equivalent atoms:
Co (0.0000, 0.0000, 0.0000) x1
Bi (0.3333, 0.6667, 0.5000) x1
Rh (0.6667, 0.3333, 0.0000) x1
O (0.3227, 0.0331, 0.2231) x6